No. 1
VASP calculation (PBE) on TmNbCF2 after structural relaxation.

The structure in POSCAR format:
```
TmNbCF2
1.0
-2.0908 -1.1674 2.2901
3.2709 -0.1809 0.4970
-0.1166 5.9950 2.9497
Nb Tm C F
1 1 1 2
direct
0.6667 0.3333 0.8255 Nb
0.3333 0.6667 0.1938 Tm
0.0000 0.0000 0.9837 C
0.6667 0.3333 0.3710 F
0.3333 0.6667 0.6260 F
```

Computed properties:
Energy ... -7.4877 eV per atom
Crystal system ... trigonal
Total magnetization ... 0.0 Bohr magnetons per cell

=====

No. 2
VASP calculation (PBE) on Pr2Tl2O5 after structural relaxation.

The structure in POSCAR format:
```
Pr2Tl2O5
1.0
-5.8673 1.1255 6.8072
-1.2122 -4.0671 -0.3724
3.0105 -1.1523 2.7854
O Pr Tl
5 2 2
direct
0.1519 0.0000 0.5000 O
0.8481 0.5000 0.0000 O
0.1519 0.5000 0.0000 O
0.8481 0.0000 0.5000 O
0.5000 0.5000 0.5000 O
0.7546 0.5000 0.5000 Pr
0.2454 0.5000 0.5000 Pr
0.5000 0.0000 0.0000 Tl
0.0000 0.0000 0.0000 Tl
```

Computed properties:
Energy above the most stable polymorph in this dataset ... 0.0 meV per atom
Crystal system ... tetragonal
Total magnetization ... 0.0 Bohr magnetons per cell

=====

No. 3
VASP calculation (PBE) on LaGaNi2P after structural relaxation.

The structure in POSCAR format:
```
LaGaNi2P
1.0
4.2508 0.0000 0.0000
0.0000 4.2508 0.0000
0.0000 0.0000 9.3530
La Ni Ga P
2 4 2 2
direct
0.0000 0.5000 0.7384 La
0.5000 0.0000 0.2616 La
0.0000 0.0000 0.0000 Ni
0.5000 0.5000 0.0000 Ni
0.5000 0.0000 0.5983 Ni
0.0000 0.5000 0.4017 Ni
0.5000 0.0000 0.8734 Ga
0.0000 0.5000 0.1266 Ga
0.5000 0.5000 0.5000 P
0.0000 0.0000 0.5000 P
```

Computed properties:
Energy above the most stable polymorph in this dataset ... 126.5 meV per atom
Crystal system ... tetragonal
Total magnetization ... 0.0 Bohr magnetons per cell

=====

No. 4
VASP calculation (PBE) on SmSeClO3 after structural relaxation.

The structure in POSCAR format:
```
SmSeClO3
1.0
7.1872 0.0000 0.0000
0.0000 7.0986 0.0000
0.0000 0.0000 8.9649
O Se Cl Sm
12 4 4 4
direct
0.6503 0.9263 0.0649 O
0.2451 0.7500 0.1831 O
0.8497 0.4263 0.5649 O
0.6503 0.5737 0.0649 O
0.2549 0.2500 0.6831 O
0.3497 0.4263 0.9351 O
0.3497 0.0737 0.9351 O
0.1503 0.5737 0.4351 O
0.7451 0.7500 0.3169 O
0.8497 0.0737 0.5649 O
0.1503 0.9263 0.4351 O
0.7549 0.2500 0.8169 O
0.2021 0.2500 0.8675 Se
0.7979 0.7500 0.1325 Se
0.7021 0.2500 0.6325 Se
0.2979 0.7500 0.3675 Se
0.0415 0.7500 0.8254 Cl
0.4585 0.2500 0.3254 Cl
0.5415 0.7500 0.6746 Cl
0.9585 0.2500 0.1746 Cl
0.3916 0.7500 0.9588 Sm
0.8916 0.7500 0.5412 Sm
0.6084 0.2500 0.0412 Sm
0.1084 0.2500 0.4588 Sm
```

Computed properties:
Energy ... -6.1559 eV per atom
Crystal system ... orthorhombic
Total magnetization ... 0.0 Bohr magnetons per cell

=====

No. 5
VASP calculation (PBE) on Zr4AlPN2 after structural relaxation.

The structure in POSCAR format:
```
Zr4AlPN2
1.0
-1.4752 -1.8733 2.3318
1.9822 -1.4225 -2.2738
10.3804 1.7368 7.9623
Zr N P Al
4 2 1 1
direct
0.0000 0.0000 0.8633 Zr
0.3333 0.6667 0.3277 Zr
0.3333 0.6667 0.6723 Zr
0.0000 0.0000 0.1367 Zr
0.6667 0.3333 0.7646 N
0.6667 0.3333 0.2354 N
0.3333 0.6667 0.0000 P
0.0000 0.0000 0.5000 Al
```

Computed properties:
Energy ... -8.7630 eV per atom
Crystal system ... hexagonal
Total magnetization ... 0.0 Bohr magnetons per cell

=====

No. 6
VASP calculation (PBE) on Pr4Bi3O4 after structural relaxation.

The structure in POSCAR format:
```
Pr4Bi3O4
1.0
8.7487 0.0000 0.0000
0.0000 2.0314 7.2864
0.0000 -2.0314 7.2864
Pr O Bi
4 4 3
direct
0.2386 0.3297 0.3297 Pr
0.7614 0.3297 0.3297 Pr
0.5000 0.9712 0.9712 Pr
0.0000 0.9911 0.9911 Pr
0.0000 0.4131 0.4131 O
0.5000 0.3859 0.3859 O
0.2440 0.9099 0.9099 O
0.7560 0.9099 0.9099 O
0.3250 0.6345 0.6345 Bi
0.6750 0.6345 0.6345 Bi
0.0000 0.6918 0.6918 Bi
```

Computed properties:
Energy ... -6.9057 eV per atom
Crystal system ... orthorhombic
Total magnetization ... 0.0 Bohr magnetons per cell